A plane-wave DFT calculation with GGA-PBE was carried out for an optimized crystal structure of Sr2SnCl6.

abc: 6.7391 6.7391 13.4015
angles: 90.00 90.00 90.00
Fractional coordinates of all 18 atoms:
1 Sr 0.0000 0.0000 0.1668
2 Sr 0.0000 0.0000 0.8332
3 Sr 0.5000 0.5000 0.3332
4 Sr 0.5000 0.5000 0.6668
5 Sn 0.0000 0.0000 0.5000
6 Sn 0.5000 0.5000 0.0000
7 Cl 0.1936 0.1936 0.3352
8 Cl 0.1936 0.1936 0.6648
9 Cl 0.1977 0.1977 0.0000
10 Cl 0.3023 0.6977 0.5000
11 Cl 0.3064 0.6936 0.1648
12 Cl 0.3064 0.6936 0.8352
13 Cl 0.6936 0.3064 0.1648
14 Cl 0.6936 0.3064 0.8352
15 Cl 0.6977 0.3023 0.5000
16 Cl 0.8023 0.8023 0.0000
17 Cl 0.8064 0.8064 0.3352
18 Cl 0.8064 0.8064 0.6648

Calculated values
- energy relative to the lowest polymorph listed for this composition (eV/atom) = 0.000
- energy (Ha/atom) = -0.148
- symmetry = P4_2/mnm (136)